## A
A relaxed RbAcTe2 crystal, computed with PBE-GGA.

Unit cell a=4.166 b=4.166 c=8.879 alpha=90.00 beta=90.00 gamma=90.00
Sites, in units of the cell vectors:
Te1 0.000 0.000 0.215
Te2 0.000 0.000 0.785
Ac1 0.500 0.500 0.000
Rb1 0.500 0.500 0.500

## B
A relaxed RbAcTe2 crystal, computed with PBE-GGA.

Unit cell a=5.883 b=5.883 c=5.883 alpha=60.00 beta=60.00 gamma=60.00
Sites, in units of the cell vectors:
Ac1 0.500 0.500 0.500
Te1 0.250 0.250 0.250
Te2 0.750 0.750 0.750
Rb1 0.000 0.000 0.000

## C
A relaxed RbAcTe2 crystal, computed with PBE-GGA.

Unit cell a=4.879 b=4.879 c=9.045 alpha=74.35 beta=74.35 gamma=60.00
Sites, in units of the cell vectors:
Ac1 0.000 0.000 0.000
Rb1 0.500 0.500 0.500
Te1 0.262 0.262 0.213
Te2 0.738 0.738 0.787

Most stable: C (next structure +0.150 eV/atom)